(1)
First-principles (PBE) data for a relaxed LaIr2Au crystal, as listed in the Alexandria database.

abc: 4.782 4.782 4.782
angles: 60.00 60.00 60.00
Element x y z (fractional)
Ir 0.250 0.250 0.250
Ir 0.750 0.750 0.750
Au 0.500 0.500 0.500
La 0.000 0.000 0.000

Properties
Formation enthalpy at 0 K: 57 meV/atom
SG: Fm-3m
Offset from the most stable computed form: 266.7 meV/atom
Magnetic moment: 0.00 μB/f.u.

---

(2)
First-principles (PBE) data for a relaxed La8Ir3Au2 crystal, as listed in the Alexandria database.

abc: 8.653 8.653 13.593
angles: 90.00 90.00 120.00
Element x y z (fractional)
La 0.845 0.155 0.150
La 0.689 0.845 0.650
La 0.155 0.311 0.650
La 0.845 0.689 0.150
La 0.311 0.155 0.150
La 0.155 0.845 0.650
La 0.511 0.489 0.878
La 0.022 0.511 0.378
La 0.489 0.978 0.378
La 0.511 0.022 0.878
La 0.000 0.000 0.375
La 0.000 0.000 0.875
La 0.333 0.667 0.151
La 0.978 0.489 0.878
La 0.489 0.511 0.378
La 0.667 0.333 0.651
Ir 0.666 0.833 0.263
Ir 0.833 0.167 0.763
Ir 0.167 0.334 0.263
Ir 0.833 0.666 0.763
Ir 0.334 0.167 0.763
Ir 0.167 0.833 0.263
Au 0.667 0.333 0.029
Au 0.333 0.667 0.529
Au 0.667 0.333 0.265
Au 0.333 0.667 0.765

Properties
Formation enthalpy at 0 K: -652 meV/atom
SG: P6_3mc
Magnetic moment: 0.00 μB/f.u.

---

(3)
First-principles (PBE) data for a relaxed La7Ir2Au2 crystal, as listed in the Alexandria database.

abc: 7.040 7.245 7.040
angles: 90.00 108.59 90.00
Element x y z (fractional)
La 0.000 0.262 0.500
La 0.500 0.738 0.000
La 0.000 0.738 0.500
La 0.500 0.262 0.000
La 0.000 0.000 0.000
La 0.500 0.747 0.500
La 0.500 0.253 0.500
Ir 0.709 0.000 0.291
Ir 0.291 0.000 0.709
Au 0.822 0.500 0.822
Au 0.178 0.500 0.178

Properties
Formation enthalpy at 0 K: -524 meV/atom
SG: Cmmm
Magnetic moment: 0.00 μB/f.u.

---

(4)
First-principles (PBE) data for a relaxed LaIr2Au crystal, as listed in the Alexandria database.

abc: 10.105 10.105 10.105
angles: 16.74 16.74 16.74
Each line ends with the local moment (μB).
Element x y z (fractional)
Au 0.741 0.741 0.741  -0.01
Ir 0.996 0.996 0.996  -0.09
Ir 0.260 0.260 0.260  -0.06
La 0.503 0.503 0.503  0.49

Properties
Formation enthalpy at 0 K: 364 meV/atom
SG: R3m
Offset from the most stable computed form: 573.5 meV/atom
Magnetic moment: 0.48 μB/f.u.